# 1
{
  "formula": "CrReAs2",
  "functional": "GGA-PBE",
  "state": "optimized geometry",
  "m_tot_mub_per_fu": 0.7,
  "spacegroup": "No. 160",
  "e_above_lowest_polymorph_ev_per_fu": 0.26,
  "ef_ev_per_atom": 0.14,
  "cell": [[1.4383, 0.8304, 10.1200], [-1.4383, 0.8304, 10.1200], [0.0000, -1.6608, 10.1200]],
  "species": ["Cr", "Re", "As", "As"],
  "fractional_positions": [[0.0000, 0.0000, 0.0000], [0.7330, 0.7330, 0.7330], [0.2706, 0.2706, 0.2706], [0.4666, 0.4666, 0.4666]]
}

# 2
{
  "formula": "CrReAs3",
  "functional": "GGA-PBE",
  "state": "optimized geometry",
  "m_tot_mub_per_fu": 4.6,
  "spacegroup": "No. 221",
  "e_above_lowest_polymorph_ev_per_fu": 0.00,
  "ef_ev_per_atom": 0.86,
  "cell": [[4.8475, 0.0000, 0.0000], [0.0000, 4.8475, 0.0000], [0.0000, 0.0000, 4.8475]],
  "species": ["Cr", "Re", "As", "As", "As"],
  "fractional_positions": [[0.0000, 0.0000, 0.0000], [0.5000, 0.5000, 0.5000], [0.0000, 0.5000, 0.5000], [0.5000, 0.0000, 0.5000], [0.5000, 0.5000, 0.0000]]
}

# 3
{
  "formula": "CrReAs2",
  "functional": "GGA-PBE",
  "state": "optimized geometry",
  "m_tot_mub_per_fu": 2.2,
  "spacegroup": "No. 65",
  "e_above_lowest_polymorph_ev_per_fu": 1.70,
  "ef_ev_per_atom": 0.51,
  "cell": [[1.6028, -2.5171, 0.0000], [1.6028, 2.5171, 0.0000], [0.0000, 0.0000, 7.7152]],
  "species": ["Cr", "Re", "As", "As"],
  "fractional_positions": [[0.0000, 0.0000, 0.0000], [0.0000, 0.0000, 0.5000], [0.5000, 0.5000, 0.2424], [0.5000, 0.5000, 0.7576]]
}

# 4
{
  "formula": "CrReAs2",
  "functional": "GGA-PBE",
  "state": "optimized geometry",
  "m_tot_mub_per_fu": 3.7,
  "spacegroup": "No. 122",
  "e_above_lowest_polymorph_ev_per_fu": 1.89,
  "ef_ev_per_atom": 0.55,
  "cell": [[-2.8149, 2.8149, 5.6358], [2.8149, -2.8149, 5.6358], [2.8149, 2.8149, -5.6358]],
  "species": ["Cr", "Cr", "Re", "Re", "As", "As", "As", "As"],
  "fractional_positions": [[0.0000, 0.0000, 0.0000], [0.7500, 0.2500, 0.5000], [0.2500, 0.7500, 0.5000], [0.5000, 0.5000, 0.0000], [0.1384, 0.6250, 0.0134], [0.3750, 0.3884, 0.5134], [0.6116, 0.1250, 0.9866], [0.8750, 0.8616, 0.4866]]
}

# 5
{
  "formula": "CrReAs2",
  "functional": "GGA-PBE",
  "state": "optimized geometry",
  "m_tot_mub_per_fu": 2.1,
  "spacegroup": "No. 166",
  "e_above_lowest_polymorph_ev_per_fu": 0.97,
  "ef_ev_per_atom": 0.32,
  "cell": [[1.4940, 0.8626, 7.7247], [-1.4940, 0.8626, 7.7247], [0.0000, -1.7251, 7.7247]],
  "species": ["Cr", "Re", "As", "As"],
  "fractional_positions": [[0.0000, 0.0000, 0.0000], [0.5000, 0.5000, 0.5000], [0.2515, 0.2515, 0.2515], [0.7485, 0.7485, 0.7485]]
}

# 6
{
  "formula": "CrReAs2",
  "functional": "GGA-PBE",
  "state": "optimized geometry",
  "m_tot_mub_per_fu": 0.0,
  "spacegroup": "No. 25",
  "e_above_lowest_polymorph_ev_per_fu": 0.26,
  "ef_ev_per_atom": 0.14,
  "cell": [[3.0064, 0.0000, 0.0000], [0.0000, 4.4806, 0.0000], [0.0000, 0.0000, 4.3360]],
  "species": ["Cr", "Re", "As", "As"],
  "fractional_positions": [[0.0000, 0.0000, 0.0000], [0.5000, 0.5000, 0.7740], [0.0000, 0.5000, 0.2572], [0.5000, 0.0000, 0.5077]]
}

# 7
{
  "formula": "Cr2ReAs",
  "functional": "GGA-PBE",
  "state": "optimized geometry",
  "m_tot_mub_per_fu": 0.0,
  "spacegroup": "No. 44",
  "ef_ev_per_atom": 0.14,
  "cell": [[-1.5310, 2.0179, 4.2385], [1.5310, -2.0179, 4.2385], [1.5310, 2.0179, -4.2385]],
  "species": ["Cr", "Cr", "Re", "As"],
  "fractional_positions": [[0.0000, 0.0000, 0.0000], [0.7474, 0.2474, 0.5000], [0.4908, 0.4908, 0.0000], [0.2376, 0.7376, 0.5000]]
}

# 8
{
  "formula": "CrRe3As",
  "functional": "GGA-PBE",
  "state": "optimized geometry",
  "m_tot_mub_per_fu": 0.1,
  "spacegroup": "No. 221",
  "e_above_lowest_polymorph_ev_per_fu": 0.91,
  "ef_ev_per_atom": 1.89,
  "cell": [[4.4792, 0.0000, 0.0000], [0.0000, 4.4792, 0.0000], [0.0000, 0.0000, 4.4792]],
  "species": ["Cr", "Re", "Re", "Re", "As"],
  "fractional_positions": [[0.0000, 0.0000, 0.0000], [0.0000, 0.5000, 0.5000], [0.5000, 0.0000, 0.5000], [0.5000, 0.5000, 0.0000], [0.5000, 0.5000, 0.5000]]
}

# 9
{
  "formula": "CrReAs2",
  "functional": "GGA-PBE",
  "state": "optimized geometry",
  "m_tot_mub_per_fu": 2.0,
  "spacegroup": "No. 44",
  "e_above_lowest_polymorph_ev_per_fu": 0.02,
  "ef_ev_per_atom": 0.08,
  "cell": [[-1.6404, 1.6647, 5.6965], [1.6404, -1.6647, 5.6965], [1.6404, 1.6647, -5.6965]],
  "species": ["Cr", "Re", "As", "As"],
  "fractional_positions": [[0.0000, 0.0000, 0.0000], [0.2559, 0.7559, 0.5000], [0.4258, 0.4258, 0.0000], [0.6638, 0.1638, 0.5000]]
}

# 10
{
  "formula": "Cr2ReAs",
  "functional": "GGA-PBE",
  "state": "optimized geometry",
  "m_tot_mub_per_fu": 0.4,
  "spacegroup": "No. 216",
  "ef_ev_per_atom": 0.21,
  "cell": [[0.0000, 2.9942, 2.9942], [2.9942, 0.0000, 2.9942], [2.9942, 2.9942, 0.0000]],
  "species": ["Cr", "Cr", "Re", "As"],
  "fractional_positions": [[0.0000, 0.0000, 0.0000], [0.2500, 0.2500, 0.2500], [0.7500, 0.7500, 0.7500], [0.5000, 0.5000, 0.5000]]
}

# 11
{
  "formula": "CrReAs2",
  "functional": "GGA-PBE",
  "state": "optimized geometry",
  "m_tot_mub_per_fu": 3.2,
  "spacegroup": "No. 12",
  "e_above_lowest_polymorph_ev_per_fu": 0.71,
  "ef_ev_per_atom": 0.26,
  "cell": [[3.9603, -1.5842, 0.0000], [3.9603, 1.5842, 0.0000], [-0.7254, 0.0000, 5.0782]],
  "species": ["Cr", "Re", "As", "As"],
  "fractional_positions": [[0.0000, 0.0000, 0.0000], [0.5000, 0.5000, 0.5000], [0.2337, 0.2337, 0.7333], [0.7663, 0.7663, 0.2667]]
}

# 12
{
  "formula": "CrReAs2",
  "functional": "GGA-PBE",
  "state": "optimized geometry",
  "m_tot_mub_per_fu": 2.9,
  "spacegroup": "No. 10",
  "e_above_lowest_polymorph_ev_per_fu": 1.50,
  "ef_ev_per_atom": 0.45,
  "cell": [[3.1411, 0.0000, 0.0000], [0.0000, 4.1445, 0.0000], [-0.0676, 0.0000, 5.0403]],
  "species": ["Cr", "Re", "As", "As"],
  "fractional_positions": [[0.0000, 0.0000, 0.0000], [0.5000, 0.0000, 0.5000], [0.3652, 0.5000, 0.2363], [0.6348, 0.5000, 0.7637]]
}

# 13
{
  "formula": "Cr2ReAs",
  "functional": "GGA-PBE",
  "state": "optimized geometry",
  "m_tot_mub_per_fu": 2.9,
  "spacegroup": "No. 65",
  "ef_ev_per_atom": 0.22,
  "cell": [[2.6447, -3.5856, 0.0000], [2.6447, 3.5856, 0.0000], [0.0000, 0.0000, 2.8865]],
  "species": ["Cr", "Cr", "Re", "As"],
  "fractional_positions": [[0.0000, 0.5000, 0.0000], [0.5000, 0.0000, 0.0000], [0.0000, 0.0000, 0.5000], [0.5000, 0.5000, 0.5000]]
}

# 14
{
  "formula": "CrReAs2",
  "functional": "GGA-PBE",
  "state": "optimized geometry",
  "m_tot_mub_per_fu": 1.4,
  "spacegroup": "No. 8",
  "e_above_lowest_polymorph_ev_per_fu": 0.11,
  "ef_ev_per_atom": 0.11,
  "cell": [[4.3282, -1.5575, 0.0000], [4.3282, 1.5575, 0.0000], [-1.2962, 0.0000, 4.3578]],
  "species": ["Cr", "Re", "As", "As"],
  "fractional_positions": [[0.0000, 0.0000, 0.0000], [0.2424, 0.2424, 0.6088], [0.5036, 0.5036, 0.4766], [0.7369, 0.7369, 0.1079]]
}

# 15
{
  "formula": "Cr2ReAs",
  "functional": "GGA-PBE",
  "state": "optimized geometry",
  "m_tot_mub_per_fu": 2.4,
  "spacegroup": "No. 65",
  "ef_ev_per_atom": 0.28,
  "cell": [[1.5861, -2.2269, 0.0000], [1.5861, 2.2269, 0.0000], [0.0000, 0.0000, 7.8287]],
  "species": ["Cr", "Cr", "Re", "As"],
  "fractional_positions": [[0.0000, 0.0000, 0.2442], [0.0000, 0.0000, 0.7558], [0.5000, 0.5000, 0.5000], [0.5000, 0.5000, 0.0000]]
}

# 16
{
  "formula": "CrReAs4",
  "functional": "GGA-PBE",
  "state": "optimized geometry",
  "m_tot_mub_per_fu": 2.6,
  "spacegroup": "No. 216",
  "ef_ev_per_atom": 1.06,
  "cell": [[0.0000, 3.7866, 3.7866], [3.7866, 0.0000, 3.7866], [3.7866, 3.7866, 0.0000]],
  "species": ["Cr", "Re", "As", "As", "As", "As"],
  "fractional_positions": [[0.0000, 0.0000, 0.0000], [0.7500, 0.7500, 0.7500], [0.3750, 0.3750, 0.3750], [0.3750, 0.3750, 0.8750], [0.3750, 0.8750, 0.3750], [0.8750, 0.3750, 0.3750]]
}

# 17
{
  "formula": "CrReAs2",
  "functional": "GGA-PBE",
  "state": "optimized geometry",
  "m_tot_mub_per_fu": 1.9,
  "spacegroup": "No. 99",
  "e_above_lowest_polymorph_ev_per_fu": 0.15,
  "ef_ev_per_atom": 0.12,
  "cell": [[3.2472, 0.0000, 0.0000], [0.0000, 3.2472, 0.0000], [0.0000, 0.0000, 5.8140]],
  "species": ["Cr", "Re", "As", "As"],
  "fractional_positions": [[0.0000, 0.0000, 0.0000], [0.5000, 0.5000, 0.3124], [0.0000, 0.0000, 0.5138], [0.5000, 0.5000, 0.8606]]
}

# 18
{
  "formula": "CrReAs2",
  "functional": "GGA-PBE",
  "state": "optimized geometry",
  "m_tot_mub_per_fu": 1.5,
  "spacegroup": "No. 123",
  "e_above_lowest_polymorph_ev_per_fu": 0.52,
  "ef_ev_per_atom": 0.21,
  "cell": [[4.3284, 0.0000, 0.0000], [0.0000, 4.3284, 0.0000], [0.0000, 0.0000, 3.0714]],
  "species": ["Cr", "Re", "As", "As"],
  "fractional_positions": [[0.0000, 0.0000, 0.0000], [0.5000, 0.5000, 0.0000], [0.0000, 0.5000, 0.5000], [0.5000, 0.0000, 0.5000]]
}

# 19
{
  "formula": "Cr2ReAs",
  "functional": "GGA-PBE",
  "state": "optimized geometry",
  "m_tot_mub_per_fu": 0.0,
  "spacegroup": "No. 160",
  "ef_ev_per_atom": 0.31,
  "cell": [[1.4077, 0.8127, 7.9892], [-1.4077, 0.8127, 7.9892], [0.0000, -1.6255, 7.9892]],
  "species": ["Cr", "Cr", "Re", "As"],
  "fractional_positions": [[0.0000, 0.0000, 0.0000], [0.2612, 0.2612, 0.2612], [0.7529, 0.7529, 0.7529], [0.5110, 0.5110, 0.5110]]
}

# 20
{
  "formula": "CrReAs2",
  "functional": "GGA-PBE",
  "state": "optimized geometry",
  "m_tot_mub_per_fu": 0.6,
  "spacegroup": "No. 99",
  "e_above_lowest_polymorph_ev_per_fu": 0.00,
  "ef_ev_per_atom": 0.08,
  "cell": [[2.9380, 0.0000, 0.0000], [0.0000, 2.9380, 0.0000], [0.0000, 0.0000, 7.6603]],
  "species": ["Cr", "Re", "As", "As"],
  "fractional_positions": [[0.0000, 0.0000, 0.0000], [0.5000, 0.5000, 0.2014], [0.0000, 0.0000, 0.4223], [0.5000, 0.5000, 0.8029]]
}

# 21
{
  "formula": "Cr3ReAs",
  "functional": "GGA-PBE",
  "state": "optimized geometry",
  "m_tot_mub_per_fu": 3.7,
  "spacegroup": "No. 221",
  "e_above_lowest_polymorph_ev_per_fu": 0.00,
  "ef_ev_per_atom": 1.29,
  "cell": [[4.3669, 0.0000, 0.0000], [0.0000, 4.3669, 0.0000], [0.0000, 0.0000, 4.3669]],
  "species": ["Cr", "Cr", "Cr", "Re", "As"],
  "fractional_positions": [[0.0000, 0.0000, 0.5000], [0.0000, 0.5000, 0.0000], [0.5000, 0.0000, 0.0000], [0.5000, 0.5000, 0.5000], [0.0000, 0.0000, 0.0000]]
}

# 22
{
  "formula": "CrRe3As",
  "functional": "GGA-PBE",
  "state": "optimized geometry",
  "m_tot_mub_per_fu": 0.0,
  "spacegroup": "No. 221",
  "e_above_lowest_polymorph_ev_per_fu": 0.00,
  "ef_ev_per_atom": 1.71,
  "cell": [[4.4764, 0.0000, 0.0000], [0.0000, 4.4764, 0.0000], [0.0000, 0.0000, 4.4764]],
  "species": ["Cr", "Re", "Re", "Re", "As"],
  "fractional_positions": [[0.0000, 0.0000, 0.0000], [0.0000, 0.0000, 0.5000], [0.0000, 0.5000, 0.0000], [0.5000, 0.0000, 0.0000], [0.5000, 0.5000, 0.5000]]
}

# 23
{
  "formula": "Cr2ReAs",
  "functional": "GGA-PBE",
  "state": "optimized geometry",
  "m_tot_mub_per_fu": 2.8,
  "spacegroup": "No. 139",
  "ef_ev_per_atom": 0.27,
  "cell": [[-1.9111, 1.9111, 3.7006], [1.9111, -1.9111, 3.7006], [1.9111, 1.9111, -3.7006]],
  "species": ["Cr", "Cr", "Re", "As"],
  "fractional_positions": [[0.2500, 0.7500, 0.5000], [0.7500, 0.2500, 0.5000], [0.0000, 0.0000, 0.0000], [0.5000, 0.5000, 0.0000]]
}

# 24
{
  "formula": "CrReAs2",
  "functional": "GGA-PBE",
  "state": "optimized geometry",
  "m_tot_mub_per_fu": 1.9,
  "spacegroup": "No. 225",
  "e_above_lowest_polymorph_ev_per_fu": 0.47,
  "ef_ev_per_atom": 0.20,
  "cell": [[0.0000, 3.0720, 3.0720], [3.0720, 0.0000, 3.0720], [3.0720, 3.0720, 0.0000]],
  "species": ["Cr", "Re", "As", "As"],
  "fractional_positions": [[0.0000, 0.0000, 0.0000], [0.5000, 0.5000, 0.5000], [0.2500, 0.2500, 0.2500], [0.7500, 0.7500, 0.7500]]
}

# 25
{
  "formula": "Cr2ReAs",
  "functional": "GGA-PBE",
  "state": "optimized geometry",
  "m_tot_mub_per_fu": 0.1,
  "spacegroup": "No. 47",
  "ef_ev_per_atom": 0.21,
  "cell": [[3.0810, 0.0000, 0.0000], [0.0000, 4.1514, 0.0000], [0.0000, 0.0000, 4.2743]],
  "species": ["Cr", "Cr", "Re", "As"],
  "fractional_positions": [[0.0000, 0.0000, 0.0000], [0.5000, 0.5000, 0.0000], [0.0000, 0.5000, 0.5000], [0.5000, 0.0000, 0.5000]]
}

# 26
{
  "formula": "CrReAs2",
  "functional": "GGA-PBE",
  "state": "optimized geometry",
  "m_tot_mub_per_fu": 2.4,
  "spacegroup": "No. 216",
  "e_above_lowest_polymorph_ev_per_fu": 1.95,
  "ef_ev_per_atom": 0.57,
  "cell": [[0.0000, 3.1351, 3.1351], [3.1351, 0.0000, 3.1351], [3.1351, 3.1351, 0.0000]],
  "species": ["Cr", "Re", "As", "As"],
  "fractional_positions": [[0.0000, 0.0000, 0.0000], [0.2500, 0.2500, 0.2500], [0.5000, 0.5000, 0.5000], [0.7500, 0.7500, 0.7500]]
}

# 27
{
  "formula": "Cr2ReAs",
  "functional": "GGA-PBE",
  "state": "optimized geometry",
  "m_tot_mub_per_fu": 0.3,
  "spacegroup": "No. 123",
  "ef_ev_per_atom": 0.14,
  "cell": [[3.0239, 0.0000, 0.0000], [0.0000, 3.0239, 0.0000], [0.0000, 0.0000, 5.7985]],
  "species": ["Cr", "Cr", "Re", "As"],
  "fractional_positions": [[0.0000, 0.0000, 0.2451], [0.0000, 0.0000, 0.7549], [0.5000, 0.5000, 0.5000], [0.5000, 0.5000, 0.0000]]
}

# 28
{
  "formula": "Cr2ReAs",
  "functional": "GGA-PBE",
  "state": "optimized geometry",
  "m_tot_mub_per_fu": 0.0,
  "spacegroup": "No. 47",
  "ef_ev_per_atom": 0.17,
  "cell": [[2.8372, 0.0000, 0.0000], [0.0000, 3.8279, 0.0000], [0.0000, 0.0000, 4.9308]],
  "species": ["Cr", "Cr", "Re", "As"],
  "fractional_positions": [[0.0000, 0.0000, 0.2364], [0.0000, 0.0000, 0.7636], [0.5000, 0.5000, 0.5000], [0.5000, 0.5000, 0.0000]]
}

# 29
{
  "formula": "Cr3ReAs",
  "functional": "GGA-PBE",
  "state": "optimized geometry",
  "m_tot_mub_per_fu": 9.0,
  "spacegroup": "No. 221",
  "e_above_lowest_polymorph_ev_per_fu": 0.22,
  "ef_ev_per_atom": 1.33,
  "cell": [[4.6876, 0.0000, 0.0000], [0.0000, 4.6876, 0.0000], [0.0000, 0.0000, 4.6876]],
  "species": ["Cr", "Cr", "Cr", "Re", "As"],
  "fractional_positions": [[0.0000, 0.0000, 0.5000], [0.0000, 0.5000, 0.0000], [0.5000, 0.0000, 0.0000], [0.0000, 0.0000, 0.0000], [0.5000, 0.5000, 0.5000]]
}

# 30
{
  "formula": "Cr2ReAs",
  "functional": "GGA-PBE",
  "state": "optimized geometry",
  "m_tot_mub_per_fu": 3.5,
  "spacegroup": "No. 122",
  "ef_ev_per_atom": 0.69,
  "cell": [[-3.3647, 3.3647, 2.6621], [3.3647, -3.3647, 2.6621], [3.3647, 3.3647, -2.6621]],
  "species": ["Cr", "Cr", "Cr", "Cr", "Re", "Re", "As", "As"],
  "fractional_positions": [[0.1237, 0.6250, 0.9987], [0.3750, 0.3737, 0.4987], [0.6263, 0.1250, 0.0013], [0.8750, 0.8763, 0.5013], [0.0000, 0.0000, 0.0000], [0.7500, 0.2500, 0.5000], [0.2500, 0.7500, 0.5000], [0.5000, 0.5000, 0.0000]]
}

| no. | final energy (eV/atom) |
| --- | --- |
| 1 | -7.6993 |
| 2 | -6.3472 |
| 3 | -7.3372 |
| 4 | -7.2914 |
| 5 | -7.5204 |
| 6 | -7.6980 |
| 7 | -8.9481 |
| 8 | -8.4304 |
| 9 | -7.7579 |
| 10 | -8.8797 |
| 11 | -7.5857 |
| 12 | -7.3890 |
| 13 | -8.8631 |
| 14 | -7.7352 |
| 15 | -8.8030 |
| 16 | -5.7177 |
| 17 | -7.7257 |
| 18 | -7.6344 |
| 19 | -8.7732 |
| 20 | -7.7633 |
| 21 | -7.9078 |
| 22 | -8.6118 |
| 23 | -8.8168 |
| 24 | -7.6467 |
| 25 | -8.8757 |
| 26 | -7.2766 |
| 27 | -8.9498 |
| 28 | -8.9121 |
| 29 | -7.8638 |
| 30 | -8.3931 |